Entry from Alexandria via LeMat-Bulk: an optimized crystal structure of Ca2Pa3Se8 (PBE-GGA).

Geometry as CIF:
```
data_Ca2Pa3Se8
_chemical_formula_sum 'Ca2 Pa3 Se8'
_cell_length_a 8.5156
_cell_length_b 8.5156
_cell_length_c 7.1238
_cell_angle_alpha 108.41
_cell_angle_beta 108.41
_cell_angle_gamma 59.81
_space_group_name_H-M_alt 'P 1'
_space_group_IT_number 1
_space_group_name_Hall 'P 1'
loop_
_atom_site_label
_atom_site_type_symbol
_atom_site_fract_x
_atom_site_fract_y
_atom_site_fract_z
_atom_site_occupancy
Ca1 Ca 0.2437 0.2437 0.4664 1
Ca2 Ca 0.7563 0.7563 0.5336 1
Pa1 Pa 0.2454 0.7546 0.5000 1
Pa2 Pa 0.5000 0.5000 0.0000 1
Pa3 Pa 0.7546 0.2454 0.5000 1
Se1 Se 0.1206 0.1206 0.7151 1
Se2 Se 0.1480 0.6135 0.7392 1
Se3 Se 0.3856 0.3856 0.2502 1
Se4 Se 0.3865 0.8520 0.2608 1
Se5 Se 0.6135 0.1480 0.7392 1
Se6 Se 0.6144 0.6144 0.7498 1
Se7 Se 0.8520 0.3865 0.2608 1
Se8 Se 0.8794 0.8794 0.2849 1
```

- calculated volume (Å³/f.u.) = 415.8
- M_tot (μB/cell) = 3.0
- uncorrected formation energy (eV/atom) = -1.522
- symmetry = C2/m (12)
- calculated density (Mg/m³) = 5.610
- total energy (eV/cell) = -80.16


Entry from Alexandria via LeMat-Bulk: an optimized crystal structure of CaPaSe (PBE-GGA).

Geometry as CIF:
```
data_CaPaSe
_chemical_formula_sum 'Ca2 Pa2 Se2'
_cell_length_a 3.6692
_cell_length_b 3.6692
_cell_length_c 14.2269
_cell_angle_alpha 90.00
_cell_angle_beta 90.00
_cell_angle_gamma 120.00
_space_group_name_H-M_alt 'P 1'
_space_group_IT_number 1
_space_group_name_Hall 'P 1'
loop_
_atom_site_label
_atom_site_type_symbol
_atom_site_fract_x
_atom_site_fract_y
_atom_site_fract_z
_atom_site_occupancy
Ca1 Ca 0.0000 0.0000 0.2125 1
Ca2 Ca 0.0000 0.0000 0.7875 1
Pa1 Pa 0.0000 0.0000 0.5000 1
Pa2 Pa 0.6667 0.3333 0.0000 1
Se1 Se 0.6667 0.3333 0.3573 1
Se2 Se 0.6667 0.3333 0.6427 1
```

- calculated volume (Å³/f.u.) = 82.9
- M_tot (μB/cell) = 2.2
- uncorrected formation energy (eV/atom) = -0.661
- symmetry = P-6m2 (187)
- calculated density (Mg/m³) = 7.009
- total energy (eV/cell) = -33.93


Entry from Alexandria via LeMat-Bulk: an optimized crystal structure of CaPaSe2 (PBE-GGA).

Geometry as CIF:
```
data_CaPaSe2
_chemical_formula_sum 'Ca1 Pa1 Se2'
_cell_length_a 7.9534
_cell_length_b 7.9534
_cell_length_c 7.9534
_cell_angle_alpha 28.36
_cell_angle_beta 28.36
_cell_angle_gamma 28.36
_space_group_name_H-M_alt 'P 1'
_space_group_IT_number 1
_space_group_name_Hall 'P 1'
loop_
_atom_site_label
_atom_site_type_symbol
_atom_site_fract_x
_atom_site_fract_y
_atom_site_fract_z
_atom_site_occupancy
Ca1 Ca 0.0000 0.0000 0.0000 1
Pa1 Pa 0.8282 0.8282 0.8282 1
Se1 Se 0.2463 0.2463 0.2463 1
Se2 Se 0.4129 0.4129 0.4129 1
```

- calculated volume (Å³/f.u.) = 100.3
- M_tot (μB/cell) = 1.3
- energy relative to the lowest polymorph listed for this composition (eV per formula unit) = 0.247
- uncorrected formation energy (eV/atom) = -1.436
- symmetry = R3m (160)
- calculated density (Mg/m³) = 7.104
- total energy (eV/cell) = -24.21


Entry from Alexandria via LeMat-Bulk: an optimized crystal structure of CaPaSi2 (PBE-GGA).

Geometry as CIF:
```
data_CaPaSi2
_chemical_formula_sum 'Ca1 Pa1 Si2'
_cell_length_a 5.4995
_cell_length_b 5.4995
_cell_length_c 5.4995
_cell_angle_alpha 50.48
_cell_angle_beta 50.48
_cell_angle_gamma 50.48
_space_group_name_H-M_alt 'P 1'
_space_group_IT_number 1
_space_group_name_Hall 'P 1'
loop_
_atom_site_label
_atom_site_type_symbol
_atom_site_fract_x
_atom_site_fract_y
_atom_site_fract_z
_atom_site_occupancy
Ca1 Ca 0.0000 0.0000 0.0000 1
Pa1 Pa 0.5000 0.5000 0.5000 1
Si1 Si 0.2442 0.2442 0.2442 1
Si2 Si 0.7558 0.7558 0.7558 1
```

- calculated volume (Å³/f.u.) = 91.2
- M_tot (μB/cell) = 0.0
- uncorrected formation energy (eV/atom) = -0.192
- symmetry = R-3m (166)
- calculated density (Mg/m³) = 5.959
- total energy (eV/cell) = -23.11


Please write out number 1 again, unchanged.
Entry from Alexandria via LeMat-Bulk: an optimized crystal structure of Ca2Pa3Se8 (PBE-GGA).

Geometry as CIF:
```
data_Ca2Pa3Se8
_chemical_formula_sum 'Ca2 Pa3 Se8'
_cell_length_a 8.5156
_cell_length_b 8.5156
_cell_length_c 7.1238
_cell_angle_alpha 108.41
_cell_angle_beta 108.41
_cell_angle_gamma 59.81
_space_group_name_H-M_alt 'P 1'
_space_group_IT_number 1
_space_group_name_Hall 'P 1'
loop_
_atom_site_label
_atom_site_type_symbol
_atom_site_fract_x
_atom_site_fract_y
_atom_site_fract_z
_atom_site_occupancy
Ca1 Ca 0.2437 0.2437 0.4664 1
Ca2 Ca 0.7563 0.7563 0.5336 1
Pa1 Pa 0.2454 0.7546 0.5000 1
Pa2 Pa 0.5000 0.5000 0.0000 1
Pa3 Pa 0.7546 0.2454 0.5000 1
Se1 Se 0.1206 0.1206 0.7151 1
Se2 Se 0.1480 0.6135 0.7392 1
Se3 Se 0.3856 0.3856 0.2502 1
Se4 Se 0.3865 0.8520 0.2608 1
Se5 Se 0.6135 0.1480 0.7392 1
Se6 Se 0.6144 0.6144 0.7498 1
Se7 Se 0.8520 0.3865 0.2608 1
Se8 Se 0.8794 0.8794 0.2849 1
```

- calculated volume (Å³/f.u.) = 415.8
- M_tot (μB/cell) = 3.0
- uncorrected formation energy (eV/atom) = -1.522
- symmetry = C2/m (12)
- calculated density (Mg/m³) = 5.610
- total energy (eV/cell) = -80.16